# Ca2NbTe PBE-GGA optimized geometry
# energy relative to the elements, uncorrected	0.31	eV per atom
# total moment	2.972	μB/f.u.
# space-group type	I-42d, No. 122
data_Ca2NbTe
_chemical_formula_sum 'Ca4 Nb2 Te2'
_symmetry_space_group_name_H-M 'P 1'
_symmetry_Int_Tables_number 1
_cell_length_a 8.5695
_cell_length_b 8.5695
_cell_length_c 6.8828
_cell_angle_alpha 51.50
_cell_angle_beta 51.50
_cell_angle_gamma 90.00
loop_
_symmetry_equiv_pos_as_xyz
'x,y,z'
loop_
_atom_site_label
_atom_site_type_symbol
_atom_site_fract_x
_atom_site_fract_y
_atom_site_fract_z
_atom_site_occupancy
Ca1 Ca 0.6364 0.1250 0.2500 1
Nb1 Nb 0.5000 0.5000 0.0000 1
Nb2 Nb 0.2500 0.7500 0.5000 1
Te1 Te 0.0000 0.0000 0.0000 1
Ca2 Ca 0.3750 0.3636 0.7500 1
Te2 Te 0.7500 0.2500 0.5000 1
Ca3 Ca 0.1136 0.6250 0.2500 1
Ca4 Ca 0.8750 0.8864 0.7500 1